# 1
# PBE-GGA Cd2In2As, relaxed
# DFT formation energy in eV per atom: 0.10
# Total DFT energy (no corrections) in eV per atom: -2.296
data_Cd2In2As
_chemical_formula_sum 'Cd4 In4 As2'
_symmetry_space_group_name_H-M 'P 4/m b m'
_symmetry_Int_Tables_number 127
_symmetry_space_group_name_Hall '-P 4 2ab'
_cell_length_a 7.282
_cell_length_b 7.282
_cell_length_c 4.909
_cell_angle_alpha 90.00
_cell_angle_beta 90.00
_cell_angle_gamma 90.00
loop_
_atom_site_label
_atom_site_type_symbol
_atom_site_fract_x
_atom_site_fract_y
_atom_site_fract_z
Cd1 Cd 0.139 0.361 0.000
In1 In 0.170 0.670 0.500
As1 As 0.000 0.000 0.000

=====

# 2
# PBE-GGA Cd2In2As, relaxed
# DFT formation energy in eV per atom: 0.15
# Total DFT energy (no corrections) in eV per atom: -2.239
data_Cd2In2As
_chemical_formula_sum 'Cd4 In4 As2'
_symmetry_space_group_name_H-M 'P 4/m b m'
_symmetry_Int_Tables_number 127
_symmetry_space_group_name_Hall '-P 4 2ab'
_cell_length_a 7.551
_cell_length_b 7.551
_cell_length_c 4.539
_cell_angle_alpha 90.00
_cell_angle_beta 90.00
_cell_angle_gamma 90.00
loop_
_atom_site_label
_atom_site_type_symbol
_atom_site_fract_x
_atom_site_fract_y
_atom_site_fract_z
Cd1 Cd 0.155 0.345 0.000
In1 In 0.154 0.654 0.500
As1 As 0.000 0.000 0.500

=====

# 3
# PBE-GGA Cd2InAs, relaxed
# DFT formation energy in eV per atom: 0.13
# Total DFT energy (no corrections) in eV per atom: -2.174
data_Cd2InAs
_chemical_formula_sum 'Cd6 In3 As3'
_symmetry_space_group_name_H-M 'R -3 m'
_symmetry_Int_Tables_number 166
_symmetry_space_group_name_Hall '-R 3 2"'
_cell_length_a 3.2293
_cell_length_b 3.2293
_cell_length_c 30.4353
_cell_angle_alpha 90.00
_cell_angle_beta 90.00
_cell_angle_gamma 120.00
loop_
_atom_site_label
_atom_site_type_symbol
_atom_site_fract_x
_atom_site_fract_y
_atom_site_fract_z
Cd1 Cd 0.0000 0.0000 0.2469
In1 In 0.0000 0.0000 0.0000
As1 As 0.0000 0.0000 0.5000

=====

# 4
# PBE-GGA Cd2InAs, relaxed
# DFT formation energy in eV per atom: 0.11
# Total DFT energy (no corrections) in eV per atom: -2.190
data_Cd2InAs
_chemical_formula_sum 'Cd4 In2 As2'
_symmetry_space_group_name_H-M 'I m m 2'
_symmetry_Int_Tables_number 44
_cell_length_a 4.138
_cell_length_b 5.291
_cell_length_c 8.659
_cell_angle_alpha 90.00
_cell_angle_beta 90.00
_cell_angle_gamma 90.00
loop_
_symmetry_equiv_pos_as_xyz
'x,y,z'
'-x,-y,z'
'-x,y,z'
'x,-y,z'
'x+1/2,y+1/2,z+1/2'
'-x+1/2,-y+1/2,z+1/2'
'-x+1/2,y+1/2,z+1/2'
'x+1/2,-y+1/2,z+1/2'
loop_
_atom_site_label
_atom_site_type_symbol
_atom_site_fract_x
_atom_site_fract_y
_atom_site_fract_z
Cd1 Cd 0.000 0.000 0.000
Cd2 Cd 0.000 0.500 0.244
In1 In 0.000 0.500 0.765
As1 As 0.000 0.000 0.509

=====

# 5
# PBE-GGA Cd2InAs, relaxed
# DFT formation energy in eV per atom: 0.13
# Total DFT energy (no corrections) in eV per atom: -2.176
data_Cd2InAs
_chemical_formula_sum 'Cd8 In4 As4'
_symmetry_space_group_name_H-M 'F m -3 m'
_symmetry_Int_Tables_number 225
_symmetry_space_group_name_Hall '-F 4 2 3'
_cell_length_a 7.255
_cell_length_b 7.255
_cell_length_c 7.255
_cell_angle_alpha 90.00
_cell_angle_beta 90.00
_cell_angle_gamma 90.00
loop_
_atom_site_label
_atom_site_type_symbol
_atom_site_fract_x
_atom_site_fract_y
_atom_site_fract_z
Cd1 Cd 0.250 0.250 0.250
In1 In 0.000 0.000 0.000
As1 As 0.000 0.000 0.500

=====

# 6
# PBE-GGA Cd2InAs, relaxed
# DFT formation energy in eV per atom: 0.12
# Total DFT energy (no corrections) in eV per atom: -2.183
data_Cd2InAs
_chemical_formula_sum 'Cd2 In1 As1'
_symmetry_space_group_name_H-M 'P 4/m m m'
_symmetry_Int_Tables_number 123
_symmetry_space_group_name_Hall '-P 4 2'
_cell_length_a 3.259
_cell_length_b 3.259
_cell_length_c 8.726
_cell_angle_alpha 90.00
_cell_angle_beta 90.00
_cell_angle_gamma 90.00
loop_
_atom_site_label
_atom_site_type_symbol
_atom_site_fract_x
_atom_site_fract_y
_atom_site_fract_z
Cd1 Cd 0.000 0.000 0.234
In1 In 0.500 0.500 0.500
As1 As 0.500 0.500 0.000

=====

# 7
# PBE-GGA CdIn3As, relaxed
# DFT formation energy in eV per atom: 0.32
# Total DFT energy (no corrections) in eV per atom: -2.438
data_CdIn3As
_chemical_formula_sum 'Cd1 In3 As1'
_symmetry_space_group_name_H-M 'P m -3 m'
_symmetry_Int_Tables_number 221
_symmetry_space_group_name_Hall '-P 4 2 3'
_cell_length_a 5.442
_cell_length_b 5.442
_cell_length_c 5.442
_cell_angle_alpha 90.00
_cell_angle_beta 90.00
_cell_angle_gamma 90.00
loop_
_atom_site_label
_atom_site_type_symbol
_atom_site_fract_x
_atom_site_fract_y
_atom_site_fract_z
Cd1 Cd 0.000 0.000 0.000
In1 In 0.000 0.500 0.500
As1 As 0.500 0.500 0.500

=====

# 8
# PBE-GGA Cd4InAs2, relaxed
# DFT formation energy in eV per atom: 0.39
# Total DFT energy (no corrections) in eV per atom: -1.849
data_Cd4InAs2
_chemical_formula_sum 'Cd8 In2 As4'
_symmetry_space_group_name_H-M 'I 4/m m m'
_symmetry_Int_Tables_number 139
_symmetry_space_group_name_Hall '-I 4 2'
_cell_length_a 5.509
_cell_length_b 5.509
_cell_length_c 13.807
_cell_angle_alpha 90.00
_cell_angle_beta 90.00
_cell_angle_gamma 90.00
loop_
_atom_site_label
_atom_site_type_symbol
_atom_site_fract_x
_atom_site_fract_y
_atom_site_fract_z
Cd1 Cd 0.000 0.000 0.206
Cd2 Cd 0.000 0.500 0.000
In1 In 0.000 0.000 0.000
As1 As 0.000 0.000 0.396